# AgP3Rh, optimized geometry, DFT GGA-PBE
data_AgP3Rh
_chemical_formula_sum 'Ag1 P3 Rh1'
_space_group_name_H-M_alt 'P m -3 m'
_space_group_IT_number 221
_space_group_name_Hall '-P 4 2 3'
_cell_length_a 4.6233
_cell_length_b 4.6233
_cell_length_c 4.6233
_cell_angle_alpha 90.00
_cell_angle_beta 90.00
_cell_angle_gamma 90.00
loop_
_atom_site_label
_atom_site_type_symbol
_atom_site_fract_x
_atom_site_fract_y
_atom_site_fract_z
Ag1 Ag 0.0000 0.0000 0.0000
P1 P 0.0000 0.5000 0.5000
Rh1 Rh 0.5000 0.5000 0.5000
# - Formation enthalpy at 0 K: 16.38 kcal/mol of atoms
# - Distance to the lowest polymorph of the same formula: 0.0 meV/atom
# - Crystal system: cubic

=====

# MgS2I, optimized geometry, DFT GGA-PBE
data_MgS2I
_chemical_formula_sum 'Mg3 S6 I3'
_space_group_name_H-M_alt 'R -3 m'
_space_group_IT_number 166
_space_group_name_Hall '-R 3 2"'
_cell_length_a 3.8719
_cell_length_b 3.8719
_cell_length_c 23.4310
_cell_angle_alpha 90.00
_cell_angle_beta 90.00
_cell_angle_gamma 120.00
loop_
_atom_site_label
_atom_site_type_symbol
_atom_site_fract_x
_atom_site_fract_y
_atom_site_fract_z
Mg1 Mg 0.0000 0.0000 0.0000
S1 S 0.0000 0.0000 0.3903
I1 I 0.0000 0.0000 0.5000
# - Distance to the lowest polymorph of the same formula: 0.0 meV/atom
# - Raw formation energy: -1.9 eV per formula unit
# - Crystal system: trigonal

=====

# ReNi2W, optimized geometry, DFT GGA-PBE
data_ReNi2W
_chemical_formula_sum 'Re1 Ni2 W1'
_space_group_name_H-M_alt 'P 1 2/m 1'
_space_group_IT_number 10
_cell_length_a 4.6000
_cell_length_b 2.6840
_cell_length_c 4.6563
_cell_angle_alpha 90.00
_cell_angle_beta 109.94
_cell_angle_gamma 90.00
loop_
_space_group_symop_operation_xyz
'x,y,z'
'-x,-y,-z'
'-x,y,-z'
'x,-y,z'
loop_
_atom_site_label
_atom_site_type_symbol
_atom_site_fract_x
_atom_site_fract_y
_atom_site_fract_z
Re1 Re 0.0000 0.0000 0.0000
Ni1 Ni 0.5000 0.0000 0.5000
Ni2 Ni 0.5000 0.5000 0.0000
W1 W 0.0000 0.5000 0.5000
# - Formation enthalpy at 0 K: 3.52 kcal/mol of atoms
# - Crystal system: monoclinic

=====

# Na3Sn2Au4, optimized geometry, DFT GGA-PBE
data_Na3Sn2Au4
_chemical_formula_sum 'Na6 Sn4 Au8'
_space_group_name_H-M_alt 'C 1 2/m 1'
_space_group_IT_number 12
_cell_length_a 10.4318
_cell_length_b 4.7670
_cell_length_c 8.9328
_cell_angle_alpha 90.00
_cell_angle_beta 97.65
_cell_angle_gamma 90.00
loop_
_space_group_symop_operation_xyz
'x,y,z'
'-x,-y,-z'
'-x,y,-z'
'x,-y,z'
'x+1/2,y+1/2,z'
'-x+1/2,-y+1/2,-z'
'-x+1/2,y+1/2,-z'
'x+1/2,-y+1/2,z'
loop_
_atom_site_label
_atom_site_type_symbol
_atom_site_fract_x
_atom_site_fract_y
_atom_site_fract_z
Na1 Na 0.0000 0.0000 0.0000
Na2 Na 0.1256 0.5000 0.3983
Sn1 Sn 0.1684 0.5000 0.7788
Au1 Au 0.0842 0.0000 0.6296
Au2 Au 0.2259 0.5000 0.0912
# - Formation enthalpy at 0 K: -6.52 kcal/mol of atoms
# - Distance to the lowest polymorph of the same formula: 13.4 meV/atom
# - Crystal system: monoclinic

=====

# Li5Hg4Pd, optimized geometry, DFT GGA-PBE
data_Li5Hg4Pd
_chemical_formula_sum 'Li5 Hg4 Pd1'
_space_group_name_H-M_alt 'P 4/m m m'
_space_group_IT_number 123
_space_group_name_Hall '-P 4 2'
_cell_length_a 3.3494
_cell_length_b 3.3494
_cell_length_c 15.4587
_cell_angle_alpha 90.00
_cell_angle_beta 90.00
_cell_angle_gamma 90.00
loop_
_atom_site_label
_atom_site_type_symbol
_atom_site_fract_x
_atom_site_fract_y
_atom_site_fract_z
Li1 Li 0.0000 0.0000 0.0000
Li2 Li 0.0000 0.0000 0.2061
Li3 Li 0.0000 0.0000 0.4156
Hg1 Hg 0.5000 0.5000 0.1049
Hg2 Hg 0.5000 0.5000 0.3133
Pd1 Pd 0.5000 0.5000 0.5000
# - Formation enthalpy at 0 K: -8.70 kcal/mol of atoms
# - Crystal system: tetragonal

=====

# BaScReAs2, optimized geometry, DFT GGA-PBE
data_BaScReAs2
_chemical_formula_sum 'Ba1 Sc1 Re1 As2'
_space_group_name_H-M_alt 'P 4/m m m'
_space_group_IT_number 123
_space_group_name_Hall '-P 4 2'
_cell_length_a 5.0074
_cell_length_b 5.0074
_cell_length_c 5.0307
_cell_angle_alpha 90.00
_cell_angle_beta 90.00
_cell_angle_gamma 90.00
loop_
_atom_site_label
_atom_site_type_symbol
_atom_site_fract_x
_atom_site_fract_y
_atom_site_fract_z
Ba1 Ba 0.0000 0.0000 0.0000
Sc1 Sc 0.5000 0.5000 0.0000
Re1 Re 0.5000 0.5000 0.5000
As1 As 0.0000 0.5000 0.5000
# - Formation enthalpy at 0 K: -1.43 kcal/mol of atoms
# - Crystal system: tetragonal

=====

Values for total magnetization, Bohr magnetons per cell, ordered as above
0.00, 0.00, 0.00, 0.00, 0.00, 0.00